(1)
The following is a DFT calculation (GGA-PBE) of an optimized crystal structure of ZnAsRh.

```
3
Lattice="-1.652 1.652 4.224 1.652 -1.652 4.224 1.652 1.652 -4.224" Properties=species:S:1:pos:R:3 pbc="T T T"
Zn 0.000 0.000 0.000
As 0.000 0.000 2.634
Rh 0.000 0.000 5.734
```

Computed properties:
Its space group is I4mm, No. 107. The calculation puts the density of states at the Fermi level at 1.3 states/eV per cell. The formation energy comes out at -0.23 eV/atom.

(2)
The following is a DFT calculation (GGA-PBE) of an optimized crystal structure of Pm2Nd6Ag.

```
9
Lattice="8.838 -4.837 0.000 8.838 4.837 0.000 -0.024 0.000 3.581" Properties=species:S:1:pos:R:3 pbc="T T T"
Pm 3.087 0.000 1.769
Pm 14.565 0.000 1.812
Nd 5.945 1.657 0.001
Nd 8.826 2.755 1.791
Nd 11.707 1.657 3.580
Nd 5.945 -1.657 0.001
Nd 8.826 -2.755 1.791
Nd 11.707 -1.657 3.580
Ag 8.838 0.000 0.000
```

Computed properties:
Its space group is C2/m, No. 12. The calculation puts the density of states at the Fermi level at 13.9 states/eV per cell. The formation energy comes out at 0.10 eV/atom.